Entry 1:
First-principles (SCAN) data for a crystal of SrCdSe2N relaxed with PBEsol, as listed in Alexandria via LeMat-Bulk.

Summary:
Calculated volume = 30.59 Å³ per atom
E_tot = -19.881 eV/atom
Formation energy without anion corrections = 0.55 eV/atom
Symmetry = P4/mmm, No. 123

Unit cell a=4.6993 b=5.7050 c=5.7050 alpha=90.00 beta=90.00 gamma=90.00
Last column: magnetic moment on the atom in μB.
Fractional positions:
Sr  0.0000  0.0000  0.0000  0.03
N  0.5000  0.0000  0.0000  1.54
Se  0.0000  0.0000  0.5000  0.32
Se  0.0000  0.5000  0.0000  0.32
Cd  0.5000  0.5000  0.5000  -0.04

Entry 2:
First-principles (SCAN) data for a crystal of CdTeSeN2 relaxed with PBEsol, as listed in Alexandria via LeMat-Bulk.

Summary:
Calculated volume = 18.13 Å³ per atom
E_tot = -19.853 eV/atom
Formation energy without anion corrections = 1.41 eV/atom
Symmetry = P4/mmm, No. 123

Unit cell a=3.9466 b=3.9466 c=5.8186 alpha=90.00 beta=90.00 gamma=90.00
Last column: magnetic moment on the atom in μB.
Fractional positions:
N  0.0000  0.5000  0.0000  0.62
N  0.5000  0.0000  0.0000  0.62
Te  0.0000  0.0000  0.5000  0.04
Se  0.0000  0.0000  0.0000  -0.01
Cd  0.5000  0.5000  0.5000  0.00

Entry 3:
First-principles (SCAN) data for a crystal of TiCdSeN2 relaxed with PBEsol, as listed in Alexandria via LeMat-Bulk.

Summary:
Calculated volume = 17.54 Å³ per atom
E_tot = -15.717 eV/atom
Formation energy without anion corrections = 1.30 eV/atom
Symmetry = P4/mmm, No. 123

Unit cell a=4.0699 b=4.0699 c=5.2951 alpha=90.00 beta=90.00 gamma=90.00
Last column: magnetic moment on the atom in μB.
Fractional positions:
N  0.0000  0.5000  0.0000  1.04
N  0.5000  0.0000  0.0000  1.04
Ti  0.5000  0.5000  0.5000  -1.69
Se  0.0000  0.0000  0.5000  0.25
Cd  0.0000  0.0000  0.0000  0.07

Entry 4:
First-principles (SCAN) data for a crystal of YCdSeN2 relaxed with PBEsol, as listed in Alexandria via LeMat-Bulk.

Summary:
Calculated volume = 21.67 Å³ per atom
E_tot = -18.982 eV/atom
Formation energy without anion corrections = 0.40 eV/atom
Symmetry = P4/mmm, No. 123

Unit cell a=4.3743 b=4.3743 c=5.6630 alpha=90.00 beta=90.00 gamma=90.00
Last column: magnetic moment on the atom in μB.
Fractional positions:
Y  0.0000  0.0000  0.0000  0.10
N  0.0000  0.5000  0.0000  1.13
N  0.5000  0.0000  0.0000  1.13
Se  0.0000  0.0000  0.5000  0.10
Cd  0.5000  0.5000  0.5000  -0.01

Entry 5:
First-principles (SCAN) data for a crystal of ZrCdSe2N relaxed with PBEsol, as listed in Alexandria via LeMat-Bulk.

Summary:
Calculated volume = 22.31 Å³ per atom
E_tot = -22.419 eV/atom
Formation energy without anion corrections = -0.31 eV/atom
Symmetry = P4/mmm, No. 123

Unit cell a=3.9963 b=5.2834 c=5.2834 alpha=90.00 beta=90.00 gamma=90.00
Last column: magnetic moment on the atom in μB.
Fractional positions:
N  0.5000  0.0000  0.0000  0.70
Se  0.0000  0.0000  0.5000  0.12
Se  0.0000  0.5000  0.0000  0.12
Zr  0.0000  0.0000  0.0000  -0.09
Cd  0.5000  0.5000  0.5000  -0.03

Entry 6:
First-principles (SCAN) data for a crystal of CdSi3N relaxed with PBEsol, as listed in Alexandria via LeMat-Bulk.

Summary:
Calculated volume = 23.52 Å³ per atom
E_tot = -11.553 eV/atom
Formation energy without anion corrections = 2.40 eV/atom
Symmetry = Pm-3m, No. 221

Unit cell a=4.8992 b=4.8992 c=4.8992 alpha=90.00 beta=90.00 gamma=90.00
Last column: magnetic moment on the atom in μB.
Fractional positions:
Si  0.0000  0.5000  0.0000  -0.07
Si  0.0000  0.0000  0.5000  -0.07
Si  0.5000  0.0000  0.0000  -0.07
N  0.5000  0.5000  0.5000  1.67
Cd  0.0000  0.0000  0.0000  0.00

Entry 7:
First-principles (SCAN) data for a crystal of Cd2SiN2 relaxed with PBEsol, as listed in Alexandria via LeMat-Bulk.

Summary:
Calculated volume = 16.67 Å³ per atom
E_tot = -17.257 eV/atom
Formation energy without anion corrections = 0.63 eV/atom
Symmetry = I4/mmm, No. 139

Unit cell a=4.7584 b=4.9872 c=4.7584 alpha=61.51 beta=90.00 gamma=118.49
Fractional positions:
Si  0.0000  0.0000  0.0000
N  0.5779  0.1558  0.4221
N  0.4221  0.8442  0.5779
Cd  0.7500  0.5000  0.7500
Cd  0.2500  0.5000  0.2500

Entry 8:
First-principles (SCAN) data for a crystal of Cd3SiN relaxed with PBEsol, as listed in Alexandria via LeMat-Bulk.

Summary:
Calculated volume = 18.40 Å³ per atom
E_tot = -21.450 eV/atom
Formation energy without anion corrections = 0.66 eV/atom
Symmetry = Pm-3m, No. 221

Unit cell a=4.5146 b=4.5146 c=4.5146 alpha=90.00 beta=90.00 gamma=90.00
Fractional positions:
Si  0.5000  0.5000  0.5000
N  0.0000  0.0000  0.0000
Cd  0.0000  0.5000  0.0000
Cd  0.0000  0.0000  0.5000
Cd  0.5000  0.0000  0.0000